A plane-wave DFT calculation with GGA-PBE was carried out for PrDyAgPd after structural relaxation.

The value obtained for the spin magnetization is 0.00 μB per formula unit. The relative energy among the computed polymorphs comes out at 16 meV/atom. The electronic total energy is -4.878 eV per atom. The calculation puts the formation energy at -0.5213 eV per atom.

The space group is F-43m (No. 216) and the conventional cell measures 7.2930, 7.2930 and 7.2930 Å, with angles of 90.00, 90.00 and 90.00 degrees. The asymmetric unit holds Pr at (0.0000, 0.0000, 0.0000), Dy at (0.0000, 0.0000, 0.5000), Ag at (0.2500, 0.2500, 0.2500) and Pd at (0.2500, 0.2500, 0.7500).


A plane-wave DFT calculation with GGA-PBE was carried out for ZrTa2Tc after structural relaxation.

The value obtained for the spin magnetization is 0.00 μB per formula unit. The relative energy among the computed polymorphs comes out at 35 meV/atom. The electronic total energy is -10.832 eV per atom. The calculation puts the formation energy at -0.1774 eV per atom.

The space group is P4mm (No. 99) and the conventional cell measures 3.2389, 3.2389 and 6.9284 Å, with angles of 90.00, 90.00 and 90.00 degrees. The asymmetric unit holds Zr at (0.0000, 0.0000, 0.0000), Ta at (0.0000, 0.0000, 0.5334), Ta at (0.5000, 0.5000, 0.2773) and Tc at (0.5000, 0.5000, 0.7510).